Record 1
Compound: Cs3RbAu3
Source: Alexandria via LeMat-Bulk
Functional: PBE
Structure: relaxed

Results
Excess energy over the best structure of this formula in the dataset ... 0.000 eV per formula unit
Final energy ... -30.61 eV/cell

Unit cell a=8.7452 b=8.7452 c=8.6065 alpha=90.01 beta=90.01 gamma=88.81
Last column: nearest neighbours and their distance in Å.
Fractional coordinates of all 14 atoms:
Cs (0.7594, 0.7594, 0.5001)  6 Au 3.72-3.78
Cs (0.2412, 0.7588, 0.5000)  6 Au 3.67-3.83
Cs (0.7588, 0.2412, 0.5000)  6 Au 3.67-3.83
Cs (0.2482, 0.7518, 0.0000)  6 Au 3.70-3.75
Cs (0.7518, 0.2482, 0.0000)  6 Au 3.70-3.75
Cs (0.2406, 0.2406, 0.4999)  6 Au 3.72-3.78
Au (0.0000, 0.5000, 0.7581)  2 Rb 3.71, 6 Cs 3.75-3.83
Au (0.0000, 0.0000, 0.2462)  2 Rb 3.59, 6 Cs 3.67-3.72
Au (0.0000, 0.0000, 0.7538)  2 Rb 3.59, 6 Cs 3.67-3.72
Au (0.0000, 0.5000, 0.2419)  2 Rb 3.71, 6 Cs 3.75-3.83
Au (0.5000, 0.0000, 0.2419)  2 Rb 3.71, 6 Cs 3.75-3.83
Au (0.5000, 0.0000, 0.7581)  2 Rb 3.71, 6 Cs 3.75-3.83
Rb (0.7683, 0.7683, 0.0000)  6 Au 3.59-3.71
Rb (0.2317, 0.2317, 0.0000)  6 Au 3.59-3.71

=====

Record 2
Compound: Cs3Rb7Au4
Source: Alexandria via LeMat-Bulk
Functional: PBE
Structure: relaxed

Results
Final energy ... -24.63 eV/cell

Unit cell a=4.9272 b=12.0266 c=14.4156 alpha=72.44 beta=80.16 gamma=78.18
Last column: nearest neighbours and their distance in Å.
Fractional coordinates of all 14 atoms:
Rb (0.6815, 0.1563, 0.4806)  4 Au 3.55-3.60
Rb (0.4846, 0.7753, 0.2555)  3 Au 3.60-3.82
Rb (0.3185, 0.8437, 0.5194)  4 Au 3.55-3.60
Rb (0.1593, 0.5568, 0.1245)  2 Au 3.57
Rb (0.5154, 0.2247, 0.7445)  3 Au 3.60-3.82
Rb (0.8407, 0.4432, 0.8755)  2 Au 3.57
Rb (0.0000, 0.0000, 0.0000)  8 Rb 4.57-5.02, 2 Au 4.60, 4 Cs 4.94
Au (0.3734, 0.5611, 0.6922)  4 Rb 3.55-3.82, 2 Cs 3.89
Au (0.1433, 0.0453, 0.6680)  5 Rb 3.59-3.60, 2 Cs 3.72
Au (0.6266, 0.4389, 0.3078)  4 Rb 3.55-3.82, 2 Cs 3.89
Au (0.8567, 0.9547, 0.3320)  5 Rb 3.59-3.60, 2 Cs 3.72
Cs (0.7036, 0.8107, 0.7821)  2 Au 3.72, 1 Rb 4.16
Cs (0.0000, 0.5000, 0.5000)  4 Au 3.89
Cs (0.2964, 0.1893, 0.2179)  2 Au 3.72, 1 Rb 4.16

=====

Record 3
Compound: Cs12RbAu5
Source: Alexandria via LeMat-Bulk
Functional: PBE
Structure: relaxed

Results
Final energy ... -30.94 eV/cell

Unit cell a=11.7155 b=11.7155 c=11.7155 alpha=107.98 beta=111.46 gamma=109.00
Last column: nearest neighbours and their distance in Å.
Fractional coordinates of all 18 atoms:
Au (0.3910, 0.3910, 0.0000)  1 Au 2.96
Au (0.5000, 0.1060, 0.6060)  1 Au 2.92
Au (0.6090, 0.6090, 0.0000)  1 Au 2.96
Au (0.0000, 0.0000, 0.0000)  4 Cs 3.63
Au (0.5000, 0.8940, 0.3940)  1 Au 2.92
Cs (0.8566, 0.1682, 0.6884)  2 Au 3.68
Cs (0.6710, 0.3218, 0.9928)  3 Au 3.65-3.73
Cs (0.3290, 0.3218, 0.6508)  3 Au 3.65-3.73
Cs (0.1434, 0.8318, 0.3116)  2 Au 3.68
Cs (0.4798, 0.1682, 0.3116)  2 Au 3.68
Cs (0.6710, 0.6782, 0.3492)  3 Au 3.65-3.73
Cs (0.5202, 0.8318, 0.6884)  2 Au 3.68
Cs (0.8078, 0.6255, 0.8176)  2 Au 3.63-3.69
Cs (0.1922, 0.3745, 0.1824)  2 Au 3.63-3.69
Cs (0.3290, 0.6782, 0.0072)  3 Au 3.65-3.73
Cs (0.1922, 0.0098, 0.8176)  2 Au 3.63-3.69
Cs (0.8078, 0.9902, 0.1824)  2 Au 3.63-3.69
Rb (0.0000, 0.5000, 0.5000)  12 Cs 4.99-5.15